(1)
Material: ZrVNi2
Method: DFT, PBE-GGA
State: optimized geometry

Cell: 3.982 3.982 3.637 Å, 90.00 90.00 90.00°
Atoms (fractional coordinates):
Zr1 0.000 0.000 0.000
V1 0.500 0.500 0.000
Ni1 0.000 0.500 0.500
Ni2 0.500 0.000 0.500

The density of states at the Fermi level is 1.205 states/eV per atom. The energy of formation is -133.3 meV/atom. As for the total moment: 1.90 Bohr magnetons per cell. As for the offset from the most stable computed form: 62 meV/atom.

(2)
Material: LiBrO3
Method: DFT, PBE-GGA
State: optimized geometry

Cell: 3.659 3.659 3.659 Å, 90.00 90.00 90.00°
Atoms (fractional coordinates):
Li1 0.000 0.000 0.000
Br1 0.500 0.500 0.500
O1 0.000 0.000 0.500
O2 0.000 0.500 0.000
O3 0.500 0.000 0.000

The density of states at the Fermi level is 0.817 states/eV per atom. Its uncorrected formation energy is 0.67 eV per atom. As for the total moment: 1.70 Bohr magnetons per cell.

(3)
Material: CoAs
Method: DFT, PBE-GGA
State: optimized geometry

Cell: 3.341 3.341 5.948 Å, 90.00 90.00 120.00°
Atoms (fractional coordinates):
Co1 0.333 0.667 0.250
Co2 0.667 0.333 0.750
As1 0.000 0.000 0.000
As2 0.000 0.000 0.500

The density of states at the Fermi level is 1.118 states/eV per atom. The energy of formation is 191.6 meV/atom. As for the total moment: 0.00 Bohr magnetons per cell.

(4)
Material: RbIn2SbCl6
Method: DFT, PBE-GGA
State: optimized geometry

Cell: 7.894 7.920 8.097 Å, 60.89 60.83 60.11°
Atoms (fractional coordinates):
Rb1 0.000 0.000 0.000
In1 0.283 0.285 0.149
In2 0.793 0.792 0.621
Sb1 0.489 0.489 0.533
Cl1 0.147 0.395 0.784
Cl2 0.249 0.829 0.323
Cl3 0.394 0.671 0.787
Cl4 0.598 0.250 0.321
Cl5 0.672 0.149 0.785
Cl6 0.830 0.599 0.323

The density of states at the Fermi level is 0.000 states/eV per atom. Its uncorrected formation energy is -1.07 eV per atom. As for the total moment: 0.00 Bohr magnetons per cell.

(5)
Material: HgS2N2
Method: DFT, PBE-GGA
State: optimized geometry

Cell: 4.139 4.139 5.990 Å, 90.00 90.00 90.00°
Atoms (fractional coordinates):
Hg1 0.000 0.000 0.000
S1 0.000 0.000 0.500
S2 0.500 0.500 0.500
N1 0.000 0.500 0.000
N2 0.500 0.000 0.000

The density of states at the Fermi level is 0.511 states/eV per atom. Its uncorrected formation energy is 2.24 eV per atom. As for the total moment: 4.32 Bohr magnetons per cell. As for the offset from the most stable computed form: 854 meV/atom.

(6)
Material: TbVP2
Method: DFT, PBE-GGA
State: optimized geometry

Cell: 6.349 6.349 6.349 Å, 34.45 34.45 34.45°
Atoms (fractional coordinates):
Tb1 0.000 0.000 0.000
V1 0.500 0.500 0.500
P1 0.236 0.236 0.236
P2 0.764 0.764 0.764

The density of states at the Fermi level is 0.950 states/eV per atom. The energy of formation is -980.6 meV/atom. As for the total moment: 1.48 Bohr magnetons per cell.

(7)
Material: Hf3Ir2Pd
Method: DFT, PBE-GGA
State: optimized geometry

Cell: 4.662 13.969 3.288 Å, 90.00 90.00 90.00°
Atoms (fractional coordinates):
Hf1 0.250 0.081 0.000
Hf2 0.250 0.419 0.000
Hf3 0.250 0.750 0.001
Hf4 0.750 0.250 0.999
Hf5 0.750 0.581 0.000
Hf6 0.750 0.919 0.000
Ir1 0.250 0.584 0.501
Ir2 0.250 0.916 0.501
Ir3 0.750 0.084 0.499
Ir4 0.750 0.416 0.499
Pd1 0.250 0.250 0.499
Pd2 0.750 0.750 0.501

The density of states at the Fermi level is 0.708 states/eV per atom. The energy of formation is -842.9 meV/atom. As for the total moment: 0.00 Bohr magnetons per cell.

(8)
Material: Rb3Mn2CdCl9
Method: DFT, PBE-GGA
State: optimized geometry

Cell: 7.284 7.284 8.928 Å, 90.00 90.00 120.00°
Atoms (fractional coordinates):
Rb1 0.000 0.000 0.000
Rb2 0.333 0.667 0.668
Rb3 0.667 0.333 0.332
Mn1 0.333 0.667 0.162
Mn2 0.667 0.333 0.838
Cd1 0.000 0.000 0.500
Cl1 0.000 0.500 0.000
Cl2 0.171 0.341 0.327
Cl3 0.171 0.829 0.327
Cl4 0.341 0.171 0.673
Cl5 0.500 0.000 0.000
Cl6 0.500 0.500 0.000
Cl7 0.659 0.829 0.327
Cl8 0.829 0.171 0.673
Cl9 0.829 0.659 0.673

Its uncorrected formation energy is -1.45 eV per atom. As for the total moment: 10.00 Bohr magnetons per cell.

(9)
Material: NaBi2Te2
Method: DFT, PBE-GGA
State: optimized geometry

Cell: 8.888 8.888 8.888 Å, 150.11 150.11 42.78°
Atoms (fractional coordinates):
Na1 0.000 0.000 0.000
Bi1 0.250 0.750 0.500
Bi2 0.750 0.250 0.500
Te1 0.409 0.409 0.000
Te2 0.591 0.591 0.000

The density of states at the Fermi level is 0.803 states/eV per atom. Its uncorrected formation energy is -0.13 eV per atom. As for the total moment: 0.00 Bohr magnetons per cell. As for the offset from the most stable computed form: 59 meV/atom.

(10)
Material: PrDyEr6
Method: DFT, PBE-GGA
State: optimized geometry

Cell: 6.493 6.527 7.450 Å, 64.85 64.81 89.96°
Atoms (fractional coordinates):
Pr1 0.000 0.000 0.000
Dy1 0.500 0.000 0.000
Er1 0.235 0.560 0.529
Er2 0.253 0.502 0.000
Er3 0.267 0.090 0.466
Er4 0.733 0.910 0.534
Er5 0.747 0.498 0.000
Er6 0.765 0.440 0.471

The density of states at the Fermi level is 1.597 states/eV per atom. The energy of formation is 206.9 meV/atom. As for the total moment: 0.00 Bohr magnetons per cell. As for the offset from the most stable computed form: 55 meV/atom.

(11)
Material: Sm6Ho3Tm2
Method: DFT, PBE-GGA
State: optimized geometry

Cell: 17.002 17.002 17.002 Å, 163.95 163.95 22.77°
Atoms (fractional coordinates):
Sm1 0.120 0.620 0.500
Sm2 0.199 0.199 0.000
Sm3 0.380 0.880 0.500
Sm4 0.620 0.120 0.500
Sm5 0.801 0.801 0.000
Sm6 0.880 0.380 0.500
Ho1 0.302 0.302 0.000
Ho2 0.500 0.500 0.000
Ho3 0.698 0.698 0.000
Tm1 0.045 0.045 0.000
Tm2 0.955 0.955 0.000

The density of states at the Fermi level is 1.477 states/eV per atom. The energy of formation is 299.4 meV/atom. As for the total moment: 0.00 Bohr magnetons per cell. As for the offset from the most stable computed form: 282 meV/atom.

(12)
Material: CsZr2ZnMo
Method: DFT, PBE-GGA
State: optimized geometry

Cell: 5.232 5.232 4.898 Å, 90.00 90.00 90.00°
Atoms (fractional coordinates):
Cs1 0.000 0.000 0.000
Zr1 0.000 0.500 0.000
Zr2 0.500 0.000 0.000
Zn1 0.500 0.500 0.500
Mo1 0.000 0.000 0.500

The density of states at the Fermi level is 1.446 states/eV per atom. The energy of formation is 2315.1 meV/atom. As for the total moment: 0.00 Bohr magnetons per cell.

(13)
Material: Mg5Cd6Ag
Method: DFT, PBE-GGA
State: optimized geometry

Cell: 8.278 8.278 8.278 Å, 149.03 117.92 70.99°
Atoms (fractional coordinates):
Mg1 0.000 0.000 0.000
Mg2 0.167 0.667 0.500
Mg3 0.341 0.341 0.000
Mg4 0.659 0.659 0.000
Mg5 0.833 0.333 0.500
Cd1 0.082 0.833 0.249
Cd2 0.248 0.500 0.748
Cd3 0.416 0.167 0.249
Cd4 0.584 0.833 0.751
Cd5 0.752 0.500 0.252
Cd6 0.918 0.167 0.751
Ag1 0.500 0.000 0.500

The density of states at the Fermi level is 0.361 states/eV per atom. The energy of formation is -89.1 meV/atom. As for the total moment: 0.00 Bohr magnetons per cell.

(14)
Material: NiAs2P
Method: DFT, PBE-GGA
State: optimized geometry

Cell: 2.669 3.412 6.914 Å, 90.00 90.68 90.00°
Atoms (fractional coordinates):
Ni1 0.000 0.000 0.000
As1 0.492 0.500 0.222
As2 0.508 0.500 0.778
P1 0.500 0.000 0.500

The density of states at the Fermi level is 0.371 states/eV per atom. The energy of formation is 164.8 meV/atom. As for the total moment: 0.00 Bohr magnetons per cell.